This record from the Alexandria database describes PaB2Ir2C after structural relaxation. The functional is PBE.

a = 3.8315 Å, b = 3.8315 Å, c = 5.8330 Å
α = 109.17°, β = 109.17°, γ = 90.00°
Closest atoms and distances in Å follow each position.
Atoms (fractional coordinates):
Pa (0.5000, 0.5000, 0.0000)  4 C 2.71
B (0.8529, 0.8529, 0.7058)  1 C 1.52
B (0.1471, 0.1471, 0.2942)  1 C 1.52
Ir (0.2500, 0.7500, 0.5000)  4 B 2.19
Ir (0.7500, 0.2500, 0.5000)  4 B 2.19
C (0.0000, 0.0000, 0.0000)  2 B 1.52

Computed properties:
DOS at the Fermi energy	0.61	states/eV per atom
VASP energy	-53.304	eV/f.u.
volume	12.6	Å³/atom


This record from the Alexandria database describes BIrPt2C after structural relaxation. The functional is PBE.

a = 4.7738 Å, b = 2.8223 Å, c = 4.7738 Å
α = 90.00°, β = 90.00°, γ = 90.00°
Closest atoms and distances in Å follow each position.
Atoms (fractional coordinates):
C (0.0000, 0.5000, 0.0000)  2 B 1.41
Ir (0.5000, 0.5000, 0.5000)  8 Pt 2.77, 2 Ir 2.82
B (0.0000, 0.0000, 0.0000)  2 C 1.41
Pt (0.0000, 0.0000, 0.5000)  2 B 2.39
Pt (0.5000, 0.0000, 0.0000)  2 B 2.39

Computed properties:
DOS at the Fermi energy	0.81	states/eV per atom
VASP energy	-33.464	eV/f.u.
volume	12.9	Å³/atom


This record from the Alexandria database describes PuBIrC after structural relaxation. The functional is PBE.

a = 3.7439 Å, b = 3.7439 Å, c = 7.6324 Å
α = 90.00°, β = 90.00°, γ = 90.00°
Closest atoms and distances in Å follow each position.
Atoms (fractional coordinates):
Pu (0.0000, 0.5000, 0.8353)  1 C 2.31
Pu (0.5000, 0.0000, 0.1647)  1 C 2.31
B (0.0000, 0.5000, 0.3421)  1 C 1.56
B (0.5000, 0.0000, 0.6579)  1 C 1.56
Ir (0.0000, 0.0000, 0.5000)  4 B 2.23
Ir (0.5000, 0.5000, 0.5000)  4 B 2.23
C (0.5000, 0.0000, 0.8624)  1 B 1.56
C (0.0000, 0.5000, 0.1376)  1 B 1.56

Computed properties:
DOS at the Fermi energy	1.71	states/eV per atom
VASP energy	-40.510	eV/f.u.
volume	13.4	Å³/atom


This record from the Alexandria database describes B2IrRuC after structural relaxation. The functional is PBE.

a = 3.8560 Å, b = 5.3311 Å, c = 3.8560 Å
α = 90.00°, β = 90.00°, γ = 90.00°
Closest atoms and distances in Å follow each position.
Atoms (fractional coordinates):
Ru (0.0000, 0.5000, 0.0000)  2 Ir 2.67, 4 C 2.73
C (0.5000, 0.5000, 0.5000)  4 Ru 2.73
Ir (0.0000, 0.0000, 0.0000)  4 B 1.93
B (0.0000, 0.0000, 0.5000)  2 Ir 1.93
B (0.5000, 0.0000, 0.0000)  2 Ir 1.93

Computed properties:
DOS at the Fermi energy	0.62	states/eV per atom
VASP energy	-30.112	eV/f.u.
volume	15.9	Å³/atom


This record from the Alexandria database describes YB2IrC after structural relaxation. The functional is PBE.

a = 4.0695 Å, b = 3.9265 Å, c = 4.0695 Å
α = 90.00°, β = 90.00°, γ = 90.00°
Closest atoms and distances in Å follow each position.
Atoms (fractional coordinates):
Y (0.5000, 0.5000, 0.5000)  8 B 2.83, 4 Ir 2.88
C (0.0000, 0.0000, 0.0000)  2 Ir 1.96, 4 B 2.03
Ir (0.0000, 0.5000, 0.0000)  2 C 1.96
B (0.0000, 0.0000, 0.5000)  2 C 2.03
B (0.5000, 0.0000, 0.0000)  2 C 2.03

Computed properties:
DOS at the Fermi energy	0.52	states/eV per atom
VASP energy	-32.904	eV/f.u.
volume	13.0	Å³/atom


This record from the Alexandria database describes K2BC after structural relaxation. The functional is PBE.

a = 11.5895 Å, b = 11.5895 Å, c = 8.3264 Å
α = 45.90°, β = 45.90°, γ = 90.00°
Closest atoms and distances in Å follow each position.
Atoms (fractional coordinates):
K (0.8692, 0.1250, 0.2500)  2 C 2.92, 2 K 2.95, 2 B 3.10
K (0.8808, 0.6250, 0.2500)  2 C 2.92, 2 K 2.95, 2 B 3.10
K (0.3750, 0.1308, 0.7500)  2 C 2.92, 2 K 2.95, 2 B 3.10
K (0.8750, 0.1192, 0.7500)  2 C 2.92, 2 K 2.95, 2 B 3.10
B (0.5000, 0.5000, 0.0000)  2 C 1.47
B (0.2500, 0.7500, 0.5000)  2 C 1.47
C (0.0000, 0.0000, 0.0000)  2 B 1.47
C (0.7500, 0.2500, 0.5000)  2 B 1.47

Computed properties:
distance to the lowest polymorph of the same formula	0	meV/atom
DOS at the Fermi energy	0.53	states/eV per atom
volume	24.7	Å³/atom